The following is a PBE-GGA calculation of a relaxed PmPaCS2 crystal, from Alexandria via LeMat-Bulk.

```
PmPaCS2
1.0
-1.277 0.176 -3.695
-2.308 -3.093 0.651
-10.497 8.683 4.040
S Pa C Pm
4 2 2 2
direct
0.000 0.500 0.689
0.500 0.000 0.908
0.500 0.000 0.311
0.000 0.500 0.092
0.500 0.000 0.586
0.000 0.500 0.414
0.000 0.000 0.500
0.500 0.500 0.500
0.500 0.000 0.123
0.000 0.500 0.877
```

Properties
Density of states at the Fermi level ... 0.545 states/eV per atom
Raw formation energy ... -1363.8 meV per atom